A plane-wave DFT calculation with GGA+U was carried out for crystalline V2CoH8O10 at its relaxed geometry.

POSCAR file:
```
V2CoH8O10
1.0
6.7786 -4.9406 0.0000
6.7786 4.9406 0.0000
-2.4416 0.0000 6.6847
V Co H O
4 2 16 20
direct
0.0840 0.1212 0.1897
0.1212 0.0840 0.6897
0.8788 0.9160 0.3103
0.9160 0.8788 0.8103
0.0000 0.5000 0.0000
0.5000 0.0000 0.5000
0.1481 0.4336 0.4249
0.1682 0.5586 0.6344
0.2672 0.5387 0.2850
0.3416 0.4045 0.1017
0.4045 0.3416 0.6017
0.4336 0.1481 0.9249
0.4414 0.8318 0.8656
0.4613 0.7328 0.2150
0.5387 0.2672 0.7850
0.5586 0.1682 0.1344
0.5664 0.8519 0.0751
0.5955 0.6584 0.3983
0.6584 0.5955 0.8983
0.7328 0.4613 0.7150
0.8318 0.4414 0.3656
0.8519 0.5664 0.5751
0.0068 0.3353 0.1983
0.0220 0.0920 0.4164
0.0841 0.2949 0.7897
0.0920 0.0220 0.9164
0.2311 0.4906 0.5284
0.2499 0.5104 0.1384
0.2949 0.0841 0.2897
0.3353 0.0068 0.6983
0.4896 0.7501 0.3616
0.4906 0.2311 0.0284
0.5094 0.7689 0.9716
0.5104 0.2499 0.6384
0.6647 0.9932 0.3017
0.7051 0.9159 0.7103
0.7501 0.4896 0.8616
0.7689 0.5094 0.4716
0.9080 0.9780 0.0836
0.9159 0.7051 0.2103
0.9780 0.9080 0.5836
0.9932 0.6647 0.8017
```

Summary:
For the total energy, the calculation gives -5.905 eV/atom. The calculation puts the magnetic moment at 6.01 μB per cell. Its volume is 447.7 Å³ per cell. As for the symmetry: C2/c (15).